This record from Alexandria describes a relaxed Na3MoF6 crystal. The functional is PBE+U.

The structure in extended XYZ format:
```
10
Lattice="0.0000 4.2707 4.2707 4.2707 0.0000 4.2707 4.2707 4.2707 0.0000" Properties=species:S:1:pos:R:3 pbc="T T T"
Na 0.0000 0.0000 0.0000
Na 2.1354 2.1354 2.1354
Na 6.4061 6.4061 6.4061
Mo 4.2707 4.2707 4.2707
F 4.2707 4.2707 2.1914
F 4.2707 2.1914 4.2707
F 6.3500 4.2707 4.2707
F 2.1914 4.2707 4.2707
F 4.2707 6.3500 4.2707
F 4.2707 4.2707 6.3500
```

Output
energy relative to the lowest polymorph listed for this composition = 0.117 eV per atom
calculated volume = 155.79 Å³/cell
magnetization = 3.0 μB per cell
uncorrected energy = -4.84 eV per atom